4
Lattice="3.237 0.000 0.000 0.000 3.237 0.000 0.000 0.000 8.105" Properties=species:S:1:pos:R:3 comment="CoRhPb2, optimized geometry, DFT PBE" final_energy_ev_per_atom=-5.26 formation_enthalpy_0k_ev_per_fu=0.82 relative_energy_ev_per_atom=0.000 pbc="T T T"
Co 0.000 0.000 0.000
Rh 1.619 1.619 6.922
Pb 0.000 0.000 5.026
Pb 1.619 1.619 1.817